1.
# K2NaCd, relaxed, DFT PBE-GGA
data_K2NaCd
_symmetry_space_group_name_H-M 'I -4 2 d'
_symmetry_Int_Tables_number 122
_symmetry_space_group_name_Hall 'I -4 2bw'
_cell_length_a 10.185
_cell_length_b 10.185
_cell_length_c 7.385
_cell_angle_alpha 90.00
_cell_angle_beta 90.00
_cell_angle_gamma 90.00
loop_
_atom_site_label
_atom_site_fract_x
_atom_site_fract_y
_atom_site_fract_z
K1 0.224 0.750 0.125
Na1 0.000 0.000 0.500
Cd1 0.000 0.000 0.000
# crystal system = tetragonal
# magnetization = 0.00 μB/f.u.
# DFT formation energy = 32 kJ/mol of formula units
# density of states at the Fermi level = 10.0 states/eV per cell



2.
# KNaCd2, relaxed, DFT PBE-GGA
data_KNaCd2
_symmetry_space_group_name_H-M 'R 3 m'
_symmetry_Int_Tables_number 160
_symmetry_space_group_name_Hall 'R 3 -2"'
_cell_length_a 3.6888
_cell_length_b 3.6888
_cell_length_c 33.4899
_cell_angle_alpha 90.00
_cell_angle_beta 90.00
_cell_angle_gamma 120.00
loop_
_atom_site_label
_atom_site_fract_x
_atom_site_fract_y
_atom_site_fract_z
K1 0.0000 0.0000 0.0000
Na1 0.0000 0.0000 0.1667
Cd1 0.0000 0.0000 0.5774
Cd2 0.0000 0.0000 0.7559
# crystal system = trigonal
# magnetization = 0.00 μB/f.u.
# DFT formation energy = 24 kJ/mol of formula units
# density of states at the Fermi level = 7.9 states/eV per cell



Repeat the first record exactly.
# K2NaCd, relaxed, DFT PBE-GGA
data_K2NaCd
_symmetry_space_group_name_H-M 'I -4 2 d'
_symmetry_Int_Tables_number 122
_symmetry_space_group_name_Hall 'I -4 2bw'
_cell_length_a 10.185
_cell_length_b 10.185
_cell_length_c 7.385
_cell_angle_alpha 90.00
_cell_angle_beta 90.00
_cell_angle_gamma 90.00
loop_
_atom_site_label
_atom_site_fract_x
_atom_site_fract_y
_atom_site_fract_z
K1 0.224 0.750 0.125
Na1 0.000 0.000 0.500
Cd1 0.000 0.000 0.000
# crystal system = tetragonal
# magnetization = 0.00 μB/f.u.
# DFT formation energy = 32 kJ/mol of formula units
# density of states at the Fermi level = 10.0 states/eV per cell